Record 1
MnTl2Fe: relaxed, PBEsol.

Lattice parameters (Å, degrees): 6.012 7.794 3.017 90.00 90.00 90.00
Space group Cmmm (No. 65)
Inequivalent atoms, fractional coordinates:
Mn  0.000  0.000  0.000
Tl  0.250  0.250  0.500
Fe  0.000  0.500  0.000

Calculated values
Theoretical density, g/cm³: 12.2
ΔE to the lowest computed polymorph, kJ/mol of atoms: 9.3
Total moment, μB per atom: 1.51
E_form, meV per atom: 643
Uncorrected energy, eV per atom: -5.35


Record 2
NiAs3Pt: relaxed, PBEsol.

Lattice parameters (Å, degrees): 4.463 4.463 4.463 90.00 90.00 90.00
Space group Pm-3m (No. 221)
Inequivalent atoms, fractional coordinates:
Ni  0.000  0.000  0.000
As  0.000  0.000  0.500
Pt  0.500  0.500  0.500

Calculated values
Theoretical density, g/cm³: 8.9
Total moment, μB per atom: 0.00
E_form, meV per atom: 510
Uncorrected energy, eV per atom: -5.18


Record 3
MnAgW: relaxed, PBEsol.

Lattice parameters (Å, degrees): 3.059 3.059 9.295 90.00 90.00 90.00
Space group I4mm (No. 107)
Inequivalent atoms, fractional coordinates:
Mn  0.000  0.000  0.000
Ag  0.000  0.000  0.317
W  0.000  0.000  0.621

Calculated values
Theoretical density, g/cm³: 13.2
ΔE to the lowest computed polymorph, kJ/mol of atoms: 7.3
Total moment, μB per atom: 0.03
E_form, meV per atom: 531
Uncorrected energy, eV per atom: -8.43


Record 4
AlMoSe2N: relaxed, PBEsol.

Lattice parameters (Å, degrees): 5.019 5.019 3.739 90.00 90.00 90.00
Space group P4/mmm (No. 123)
Inequivalent atoms, fractional coordinates:
Al  0.000  0.000  0.000
Mo  0.500  0.500  0.500
Se  0.000  0.500  0.500
N  0.500  0.500  0.000

Calculated values
Theoretical density, g/cm³: 5.2
E_form (uncorrected), meV/atom: 67
Total moment, μB per atom: 0.00
Uncorrected energy, eV per atom: -6.35


Record 5
BeAl2Os: relaxed, PBEsol.

Lattice parameters (Å, degrees): 8.946 3.114 4.061 90.00 116.84 90.00
Space group Cm (No. 8)
Inequivalent atoms, fractional coordinates:
Be  0.000  0.000  0.000
Al  0.012  0.500  0.514
Al  0.244  0.500  0.246
Os  0.273  0.000  0.776

Calculated values
Theoretical density, g/cm³: 8.3
Total moment, μB per atom: 0.00
E_form, meV per atom: -270
Uncorrected energy, eV per atom: -6.37


Record 6
Ti2BiPd2: relaxed, PBEsol.

Lattice parameters (Å, degrees): 7.523 7.523 3.088 90.00 90.00 90.00
Space group P4/mbm (No. 127)
Inequivalent atoms, fractional coordinates:
Ti  0.162  0.338  0.000
Bi  0.000  0.000  0.500
Pd  0.128  0.628  0.500

Calculated values
Theoretical density, g/cm³: 9.8
Total moment, μB per atom: 0.00
E_form, meV per atom: -381
Uncorrected energy, eV per atom: -6.95


Record 7
K2Nb3S6: relaxed, PBEsol.

Lattice parameters (Å, degrees): 15.644 10.126 5.846 90.00 90.00 90.00
Space group Amm2 (No. 38)
Inequivalent atoms, fractional coordinates:
K  0.000  0.167  0.000
K  0.500  0.167  0.333
Nb  0.249  0.000  0.835
Nb  0.249  0.167  0.333
S  0.151  0.000  0.170
S  0.151  0.165  0.665
S  0.347  0.000  0.165
S  0.347  0.165  0.668

Calculated values
Theoretical density, g/cm³: 3.9
E_form (uncorrected), meV/atom: -1305
Total moment, μB per atom: 0.00
Uncorrected energy, eV per atom: -6.85


Record 8
Dy7InCo4Ge12: relaxed, PBEsol.

Lattice parameters (Å, degrees): 10.220 10.220 4.137 90.00 90.00 90.00
Space group P4/m (No. 83)
Inequivalent atoms, fractional coordinates:
Dy  0.000  0.000  0.000
Dy  0.000  0.500  0.500
Dy  0.322  0.674  0.500
In  0.500  0.500  0.000
Co  0.118  0.278  0.000
Ge  0.064  0.195  0.500
Ge  0.112  0.715  0.000
Ge  0.213  0.486  0.000

Calculated values
Theoretical density, g/cm³: 9.1
Total moment, μB per atom: 0.00
E_form, meV per atom: -763
Uncorrected energy, eV per atom: -6.10